# Ba2GaPb, relaxed, DFT PBE
data_Ba2GaPb
_chemical_formula_sum 'Ba2 Ga1 Pb1'
_space_group_name_H-M_alt 'P 1'
_space_group_IT_number 1
_space_group_name_Hall 'P 1'
_cell_length_a 4.183
_cell_length_b 4.183
_cell_length_c 8.566
_cell_angle_alpha 90.00
_cell_angle_beta 90.00
_cell_angle_gamma 90.00
loop_
_atom_site_label
_atom_site_type_symbol
_atom_site_fract_x
_atom_site_fract_y
_atom_site_fract_z
Ba1 Ba 0.000 0.000 0.233
Ba2 Ba 0.000 0.000 0.767
Ga1 Ga 0.500 0.500 0.000
Pb1 Pb 0.500 0.500 0.500
# Formation energy from the elements in meV/atom: -386
# Energy above the most stable polymorph in this dataset in kcal/mol of atoms: 2.04
# SG: No. 123
# Mass density in Mg/m³: 6.110
# Energy in eV per atom: -3.0307
# V in A^3/atom: 37.5
# Spin magnetization in μB/cell: 0.00